Here is an optimized crystal structure of CuGeAu3 from Alexandria via LeMat-Bulk. Energies are from PBE.

Output
N(E_F) = 2.5 states/eV per cell
symmetry = P-1 (2)
ρ = 14.2 g/cm3
ΔE to the lowest computed polymorph = 0.000 eV/f.u.

a b c (Å): 4.7198 4.6406 8.1138
angles (deg): 87.97 74.00 84.73
Last column: nearest neighbours and their distance in Å.
Positions (direct):
1 Cu 0.3041 0.3686 0.0092  1 Ge 2.68, 8 Au 2.73-2.90
2 Cu 0.1071 0.8202 0.6054  1 Ge 2.68, 8 Au 2.73-2.90
3 Ge 0.9116 0.8208 0.0023  1 Cu 2.68, 8 Au 2.76-2.88
4 Ge 0.4995 0.3680 0.6123  1 Cu 2.68, 8 Au 2.76-2.88
5 Au 0.1087 0.3391 0.4137  2 Cu 2.76-2.82, 2 Ge 2.78-2.88, 7 Au 2.83-3.09
6 Au 0.9149 0.3205 0.8014  4 Ge 2.79-2.88, 4 Cu 2.80-2.90, 4 Au 2.99-3.06
7 Au 0.6908 0.8581 0.4281  2 Cu 2.73-2.75, 2 Ge 2.76-2.79, 5 Au 2.88-3.00
8 Au 0.7203 0.3307 0.1865  2 Cu 2.73-2.75, 2 Ge 2.76-2.79, 5 Au 2.88-3.00
9 Au 0.3024 0.8497 0.2009  2 Cu 2.76-2.82, 2 Ge 2.78-2.88, 7 Au 2.83-3.09
10 Au 0.4963 0.8683 0.8131  4 Ge 2.79-2.88, 4 Cu 2.80-2.90, 4 Au 2.99-3.06